Computed, not measured: a relaxed ScTcOs2 crystal at the PBE level of DFT.

Output
**Total moment**: 0.0 μB per formula unit
**Calculated formation energy**: -0.033 eV/atom

a b c (Å): 2.829 2.829 7.864
angles (deg): 90.00 90.00 90.00
Element x y z (fractional)
Sc: 0.000 0.000 0.000
Tc: 0.000 0.000 0.500
Os: 0.500 0.500 0.272
Os: 0.500 0.500 0.728



Computed, not measured: a relaxed BaCaAu crystal at the PBE level of DFT.

Output
**Total moment**: 0.0 μB per formula unit
**Calculated formation energy**: -0.512 eV/atom

a b c (Å): 7.463 7.463 7.463
angles (deg): 149.65 149.65 43.45
Element x y z (fractional)
Ba: 0.000 0.000 0.000
Ca: 0.260 0.260 0.000
Au: 0.652 0.652 0.000



Computed, not measured: a relaxed TbMgTl4 crystal at the PBE level of DFT.

Output
**Total moment**: 0.0 μB per formula unit
**Calculated formation energy**: -0.096 eV/atom

a b c (Å): 4.169 5.090 7.977
angles (deg): 89.47 75.01 90.00
Element x y z (fractional)
Tb: 0.000 0.000 0.000
Mg: 0.174 0.503 0.649
Tl: 0.329 0.004 0.339
Tl: 0.517 0.500 0.965
Tl: 0.668 0.005 0.663
Tl: 0.835 0.504 0.324



Computed, not measured: a relaxed ZrInMo2 crystal at the PBE level of DFT.

Output
**Total moment**: 0.0 μB per formula unit
**Calculated formation energy**: 0.133 eV/atom

a b c (Å): 3.733 4.413 4.478
angles (deg): 90.00 90.00 90.00
Element x y z (fractional)
Zr: 0.000 0.000 0.000
In: 0.500 0.500 0.000
Mo: 0.000 0.500 0.500
Mo: 0.500 0.000 0.500



Computed, not measured: a relaxed ScTlPdPt crystal at the PBE level of DFT.

Output
**Total moment**: 0.0 μB per formula unit
**Calculated formation energy**: -0.664 eV/atom

a b c (Å): 4.699 4.699 4.699
angles (deg): 60.00 60.00 60.00
Element x y z (fractional)
Sc: 0.000 0.000 0.000
Tl: 0.500 0.500 0.500
Pd: 0.750 0.750 0.750
Pt: 0.250 0.250 0.250



Computed, not measured: a relaxed SrTb2Y crystal at the PBE level of DFT.

Output
**Total moment**: 0.0 μB per formula unit
**Calculated formation energy**: 0.122 eV/atom

a b c (Å): 3.684 3.684 10.625
angles (deg): 90.00 90.00 90.00
Element x y z (fractional)
Sr: 0.000 0.000 0.000
Tb: 0.500 0.500 0.277
Tb: 0.500 0.500 0.723
Y: 0.000 0.000 0.500



Computed, not measured: a relaxed Rb4Mg2Se crystal at the PBE level of DFT.

Output
**Total moment**: 0.0 μB per formula unit
**ΔE_f (raw)**: -0.141 eV/atom

a b c (Å): 10.246 10.246 10.246
angles (deg): 140.77 140.77 56.69
Element x y z (fractional)
Rb: 0.000 0.500 0.500
Rb: 0.181 0.181 0.000
Rb: 0.500 0.000 0.500
Rb: 0.819 0.819 0.000
Mg: 0.407 0.407 0.000
Mg: 0.593 0.593 0.000
Se: 0.000 0.000 0.000



Computed, not measured: a relaxed URe2Pd crystal at the PBE level of DFT.

Output
**Total moment**: 0.0 μB per formula unit
**Calculated formation energy**: -0.011 eV/atom

a b c (Å): 4.128 4.128 3.947
angles (deg): 90.00 90.00 90.00
Element x y z (fractional)
U: 0.000 0.000 0.000
Re: 0.000 0.500 0.500
Re: 0.500 0.000 0.500
Pd: 0.500 0.500 0.000



- Number 8 is which compound?
  URe2Pd



- Look up the total moment of the third one.
  0.0 μB per formula unit